La5TbNd2Dy: optimized geometry, PBE-GGA.

As for the symmetry: I4/mcm, No. 140. The calculation puts the formation energy at 0.266 eV/atom.

Unit cell a=10.4180 b=10.4180 c=10.4180 alpha=130.03 beta=130.03 gamma=73.36
Last column: nearest neighbours and their distance in Å.
Fractional coordinates of all 18 atoms:
La1 0.0000 0.0000 0.0000  4 Nd 3.50
La2 0.0716 0.5716 0.9296  1 Nd 3.15, 1 Dy 3.21
La3 0.1419 0.0716 0.5000  1 Nd 3.15, 1 Dy 3.21
La4 0.3581 0.8581 0.9296  1 Nd 3.15, 1 Dy 3.21
La5 0.4284 0.3581 0.5000  1 Nd 3.15, 1 Dy 3.21
La6 0.5000 0.5000 0.0000  4 Nd 3.50
La7 0.5716 0.6419 0.5000  1 Nd 3.15, 1 Dy 3.21
La8 0.6419 0.1419 0.0704  1 Nd 3.15, 1 Dy 3.21
La9 0.8581 0.9284 0.5000  1 Nd 3.15, 1 Dy 3.21
La10 0.9284 0.4284 0.0704  1 Nd 3.15, 1 Dy 3.21
Tb1 0.2500 0.2500 0.0000  8 La 3.61
Tb2 0.7500 0.7500 0.0000  8 La 3.61
Nd1 0.1207 0.3793 0.5000  1 Nd 3.00, 2 La 3.15
Nd2 0.3793 0.8793 0.2586  1 Nd 3.00, 2 La 3.15
Nd3 0.6207 0.1207 0.7414  1 Nd 3.00, 2 La 3.15
Nd4 0.8793 0.6207 0.5000  1 Nd 3.00, 2 La 3.15
Dy1 0.2500 0.7500 0.5000  4 La 3.21
Dy2 0.7500 0.2500 0.5000  4 La 3.21

***

La2TbNdDy: optimized geometry, PBE-GGA.

As for the symmetry: Cmcm, No. 63. The calculation puts the formation energy at 0.321 eV/atom.

Unit cell a=5.8150 b=5.8150 c=11.4192 alpha=90.00 beta=90.00 gamma=107.72
Last column: nearest neighbours and their distance in Å.
Fractional coordinates of all 10 atoms:
La1 0.2481 0.2481 0.0000  2 Nd 3.32, 2 La 3.40-3.46, 2 Tb 3.68
La2 0.2481 0.2481 0.5000  2 Nd 3.32, 2 La 3.40-3.46, 2 Tb 3.68
La3 0.7519 0.7519 0.0000  2 Nd 3.32, 2 La 3.40-3.46, 2 Tb 3.68
La4 0.7519 0.7519 0.5000  2 Nd 3.32, 2 La 3.40-3.46, 2 Tb 3.68
Tb1 0.3350 0.6650 0.7500  1 Nd 3.06, 1 Dy 3.22
Tb2 0.6650 0.3350 0.2500  1 Nd 3.06, 1 Dy 3.22
Nd1 0.0090 0.9910 0.7500  1 Tb 3.06, 1 Dy 3.11, 4 La 3.32
Nd2 0.9910 0.0090 0.2500  1 Tb 3.06, 1 Dy 3.11, 4 La 3.32
Dy1 0.3218 0.6782 0.2500  1 Nd 3.11, 1 Tb 3.22
Dy2 0.6782 0.3218 0.7500  1 Nd 3.11, 1 Tb 3.22

***

La2TbNd4Dy2: optimized geometry, PBE-GGA.

As for the symmetry: C2/m, No. 12. The calculation puts the formation energy at 0.007 eV/atom.

Unit cell a=9.7279 b=9.7279 c=9.7823 alpha=115.22 beta=115.22 gamma=21.87
Last column: nearest neighbours and their distance in Å.
Fractional coordinates of all 9 atoms:
La1 0.1657 0.1657 0.4980  3 Nd 3.62-3.64, 3 Dy 3.62-3.65, 2 Tb 3.67, 4 La 3.69-3.70
La2 0.8343 0.8343 0.5020  3 Nd 3.62-3.64, 3 Dy 3.62-3.65, 2 Tb 3.67, 4 La 3.69-3.70
Tb1 0.5000 0.5000 0.5000  6 Nd 3.64, 4 La 3.67, 2 Tb 3.69
Nd1 0.0186 0.0186 0.8354  5 Nd 3.59-3.70, 4 Dy 3.61-3.67, 1 La 3.62, 2 Tb 3.64
Nd2 0.3140 0.3140 0.1661  6 Nd 3.61-3.70, 3 Dy 3.63-3.67, 1 Tb 3.64, 2 La 3.64
Nd3 0.6860 0.6860 0.8339  6 Nd 3.61-3.70, 3 Dy 3.63-3.67, 1 Tb 3.64, 2 La 3.64
Nd4 0.9814 0.9814 0.1646  5 Nd 3.59-3.70, 4 Dy 3.61-3.67, 1 La 3.62, 2 Tb 3.64
Dy1 0.3522 0.3522 0.8340  7 Nd 3.61-3.67, 3 La 3.62-3.65, 2 Dy 3.69
Dy2 0.6478 0.6478 0.1660  7 Nd 3.61-3.67, 3 La 3.62-3.65, 2 Dy 3.69

***

La3Tb6NdDy2: optimized geometry, PBE-GGA.

As for the symmetry: C2/m, No. 12. The calculation puts the formation energy at 0.018 eV/atom.

Unit cell a=6.2684 b=6.2684 c=11.9443 alpha=95.02 beta=95.02 gamma=120.02
Last column: nearest neighbours and their distance in Å.
Fractional coordinates of all 12 atoms:
La1 0.0000 0.0000 0.0000  6 La 3.62, 6 Tb 3.64-3.65
La2 0.3330 0.6670 0.0000  6 La 3.61-3.63, 6 Tb 3.64-3.65
La3 0.6670 0.3330 0.0000  6 La 3.61-3.63, 6 Tb 3.64-3.65
Tb1 0.0843 0.4184 0.2543  2 Dy 3.56, 1 Nd 3.57, 6 Tb 3.61-3.63, 3 La 3.64-3.65
Tb2 0.2476 0.2476 0.7458  2 Dy 3.57, 1 Nd 3.57, 6 Tb 3.61-3.63, 3 La 3.64-3.65
Tb3 0.4184 0.0843 0.2543  2 Dy 3.56, 1 Nd 3.57, 6 Tb 3.61-3.63, 3 La 3.64-3.65
Tb4 0.5816 0.9157 0.7457  2 Dy 3.56, 1 Nd 3.57, 6 Tb 3.61-3.63, 3 La 3.64-3.65
Tb5 0.7524 0.7524 0.2542  2 Dy 3.57, 1 Nd 3.57, 6 Tb 3.61-3.63, 3 La 3.64-3.65
Tb6 0.9157 0.5816 0.7457  2 Dy 3.56, 1 Nd 3.57, 6 Tb 3.61-3.63, 3 La 3.64-3.65
Nd1 0.5000 0.5000 0.5000  6 Tb 3.57, 6 Dy 3.62
Dy1 0.1667 0.8333 0.5000  6 Tb 3.56-3.57, 3 Dy 3.62, 3 Nd 3.62
Dy2 0.8333 0.1667 0.5000  6 Tb 3.56-3.57, 3 Dy 3.62, 3 Nd 3.62

***

La2Tb4NdDy: optimized geometry, PBE-GGA.

As for the symmetry: P2/m, No. 10. The calculation puts the formation energy at 0.026 eV/atom.

Unit cell a=5.1331 b=5.1686 c=10.1424 alpha=90.00 beta=90.06 gamma=90.00
Last column: nearest neighbours and their distance in Å.
Fractional coordinates of all 8 atoms:
La1 0.0000 0.0000 0.0000  8 Tb 3.60-3.61, 4 Dy 3.64
La2 0.5000 0.5000 0.5000  8 Tb 3.62-3.63, 4 Nd 3.64
Tb1 0.9995 0.5000 0.2481  2 Dy 3.59-3.60, 4 La 3.61-3.62, 2 Nd 3.63, 4 Tb 3.64
Tb2 0.0005 0.5000 0.7519  2 Dy 3.59-3.60, 4 La 3.61-3.62, 2 Nd 3.63, 4 Tb 3.64
Tb3 0.5000 0.0000 0.2485  4 La 3.60-3.63, 2 Dy 3.61, 2 Nd 3.62, 4 Tb 3.64
Tb4 0.5000 0.0000 0.7515  4 La 3.60-3.63, 2 Dy 3.61, 2 Nd 3.62, 4 Tb 3.64
Nd1 0.0000 0.0000 0.5000  8 Tb 3.62-3.63, 4 La 3.64
Dy1 0.5000 0.5000 0.0000  8 Tb 3.59-3.61, 4 La 3.64

***

LaNd3Dy2Te6: optimized geometry, PBE-GGA.

The uncorrected formation energy is -1.404 eV per atom. As for the symmetry: C2/m, No. 12.

Unit cell a=9.9911 b=9.9911 c=8.9923 alpha=103.26 beta=103.26 gamma=25.66
Last column: nearest neighbours and their distance in Å.
Fractional coordinates of all 12 atoms:
La1 0.0000 0.0000 0.0000  6 Te 3.18-3.23
Nd1 0.0000 0.0000 0.5000  6 Te 3.14-3.22
Nd2 0.3383 0.3383 0.1702  6 Te 3.16-3.22
Nd3 0.6617 0.6617 0.8298  6 Te 3.16-3.22
Dy1 0.3338 0.3338 0.6693  6 Te 3.05-3.11
Dy2 0.6662 0.6662 0.3307  6 Te 3.05-3.11
Te1 0.1704 0.1704 0.0920  2 Dy 3.10, 3 Nd 3.18-3.21, 1 La 3.23
Te2 0.1699 0.1699 0.5753  3 Dy 3.11, 3 Nd 3.22
Te3 0.4948 0.4948 0.7442  1 Dy 3.05, 3 Nd 3.14-3.16, 2 La 3.18
Te4 0.5052 0.5052 0.2558  1 Dy 3.05, 3 Nd 3.14-3.16, 2 La 3.18
Te5 0.8301 0.8301 0.4247  3 Dy 3.11, 3 Nd 3.22
Te6 0.8296 0.8296 0.9080  2 Dy 3.10, 3 Nd 3.18-3.21, 1 La 3.23